Record 1
The following is a DFT calculation (PBE) of ThGa2Ge after structural relaxation.

```
data_ThGa2Ge
_cell_length_a 5.1472
_cell_length_b 5.1472
_cell_length_c 11.5961
_cell_angle_alpha 90.00
_cell_angle_beta 90.00
_cell_angle_gamma 120.00
_symmetry_space_group_name_H-M 'R -3 m'
_symmetry_Int_Tables_number 166
_symmetry_space_group_name_Hall '-R 3 2"'
loop_
_atom_site_label
_atom_site_fract_x
_atom_site_fract_y
_atom_site_fract_z
Th1 0.0000 0.0000 0.0000
Ga1 0.0000 0.0000 0.2594
Ge1 0.0000 0.0000 0.5000
```

Results
* DFT formation energy: -0.1084 eV/atom
* ρ: 8.32 Mg/m³
* distance to the lowest polymorph of the same formula: 0.371 eV/atom
* E: -4.63 eV per atom
* calculated volume: 266.1 Å³ per cell



Record 2
The following is a DFT calculation (PBE) of Th2Ga3Ge after structural relaxation.

```
data_Th2Ga3Ge
_cell_length_a 8.370
_cell_length_b 8.620
_cell_length_c 14.897
_cell_angle_alpha 90.00
_cell_angle_beta 90.00
_cell_angle_gamma 90.00
_symmetry_space_group_name_H-M 'F m m m'
_symmetry_Int_Tables_number 69
_symmetry_space_group_name_Hall '-F 2 2'
loop_
_atom_site_label
_atom_site_fract_x
_atom_site_fract_y
_atom_site_fract_z
Th1 0.247 0.000 0.000
Th2 0.250 0.250 0.250
Ga1 0.000 0.000 0.334
Ga2 0.000 0.247 0.417
Ge1 0.000 0.000 0.167
```

Results
* DFT formation energy: -0.5922 eV/atom
* ρ: 9.22 Mg/m³
* E: -5.35 eV per atom
* calculated volume: 1074.8 Å³ per cell



Record 3
The following is a DFT calculation (PBE) of Th4GaGe after structural relaxation.

```
data_Th4GaGe
_cell_length_a 7.448
_cell_length_b 7.448
_cell_length_c 6.016
_cell_angle_alpha 90.00
_cell_angle_beta 90.00
_cell_angle_gamma 90.00
_symmetry_space_group_name_H-M 'P 4/m c c'
_symmetry_Int_Tables_number 124
_symmetry_space_group_name_Hall '-P 4 2c'
loop_
_atom_site_label
_atom_site_fract_x
_atom_site_fract_y
_atom_site_fract_z
Th1 0.159 0.338 0.000
Ga1 0.500 0.500 0.250
Ge1 0.000 0.000 0.250
```

Results
* DFT formation energy: -0.4681 eV/atom
* ρ: 10.65 Mg/m³
* E: -6.69 eV per atom
* calculated volume: 333.7 Å³ per cell